This record from OQMD describes crystalline CoBiPO at its relaxed geometry. The functional is PBE with a Hubbard U.

Lattice parameters (Å, degrees): 3.8711 3.8711 8.3202 90.00 90.00 90.00
Element x y z (fractional)
1 Co 0.2500 0.7500 0.5000
2 Co 0.7500 0.2500 0.5000
3 Bi 0.2500 0.2500 0.1572
4 Bi 0.7500 0.7500 0.8428
5 O 0.7500 0.2500 0.0000
6 O 0.2500 0.7500 0.0000
7 P 0.7500 0.7500 0.3756
8 P 0.2500 0.2500 0.6244

Its raw total energy is -21.25 eV/f.u. Its space group is P4/nmm (129).